Version A
Compound: Nb2ZnCo3
Source: Alexandria
Functional: GGA-PBE
Structure: optimized geometry

Unit cell a=4.9039 b=4.9039 c=7.6542 alpha=90.00 beta=90.00 gamma=120.00
Sites, in units of the cell vectors:
Nb (0.3333, 0.6667, 0.0588)
Nb (0.3333, 0.6667, 0.4412)
Nb (0.6667, 0.3333, 0.5588)
Nb (0.6667, 0.3333, 0.9412)
Zn (0.0000, 0.0000, 0.0000)
Zn (0.0000, 0.0000, 0.5000)
Co (0.1717, 0.3434, 0.7500)
Co (0.1717, 0.8283, 0.7500)
Co (0.3434, 0.1717, 0.2500)
Co (0.6566, 0.8283, 0.7500)
Co (0.8283, 0.1717, 0.2500)
Co (0.8283, 0.6566, 0.2500)

Calculated values
Fermi-level density of states: 16.871 states/eV/cell


Version B
Compound: Nb2ZnCo3
Source: Alexandria
Functional: GGA-PBE
Structure: optimized geometry

Unit cell a=5.9648 b=5.9648 c=4.8499 alpha=90.00 beta=90.00 gamma=85.42
Sites, in units of the cell vectors:
Nb (0.0927, 0.5960, 0.7500)
Nb (0.4040, 0.9073, 0.7500)
Nb (0.5960, 0.0927, 0.2500)
Nb (0.9073, 0.4040, 0.2500)
Zn (0.3999, 0.6001, 0.2500)
Zn (0.6001, 0.3999, 0.7500)
Co (0.0645, 0.9355, 0.2500)
Co (0.2460, 0.2460, 0.0000)
Co (0.2460, 0.2460, 0.5000)
Co (0.7540, 0.7540, 0.0000)
Co (0.7540, 0.7540, 0.5000)
Co (0.9355, 0.0645, 0.7500)

Calculated values
Fermi-level density of states: 16.115 states/eV/cell


Which one sits at the top of the stability order? version A does.